The following is a DFT calculation (GGA-PBE) of NaH6N2Cl after structural relaxation.

The total magnetic moment comes out at 0.00 μB per formula unit. Its crystal system is monoclinic. The value obtained for the total energy is -4.617 eV/atom. The space-group type is No. 15. The calculation puts the density at 1.1 Mg/m³.

The structure in POSCAR format:
```
NaH6N2Cl
1.0
-4.743 1.088 5.350
1.419 -5.300 4.711
3.994 3.688 1.644
H Cl N Na
12 2 4 2
Direct
0.234 0.280 0.243 H
0.280 0.234 0.743 H
0.404 0.012 0.696 H
0.720 0.766 0.257 H
0.012 0.404 0.196 H
0.988 0.596 0.804 H
0.156 0.465 0.435 H
0.596 0.988 0.304 H
0.465 0.156 0.935 H
0.766 0.720 0.757 H
0.535 0.844 0.065 H
0.844 0.535 0.565 H
0.320 0.680 0.750 Cl
0.680 0.320 0.250 Cl
0.850 0.583 0.745 N
0.583 0.850 0.245 N
0.417 0.150 0.755 N
0.150 0.417 0.255 N
0.633 0.367 0.750 Na
0.367 0.633 0.250 Na
```

The following is a DFT calculation (GGA-PBE) of NiHN2Cl after structural relaxation.

The total magnetic moment comes out at 1.42 μB per formula unit. Its crystal system is tetragonal. The value obtained for the total energy is -3.724 eV/atom. The space-group type is No. 123. The calculation puts the density at 3.5 Mg/m³.

The structure in POSCAR format:
```
NiHN2Cl
1.0
-2.401 -1.729 -0.787
2.619 -1.114 -5.540
1.397 -2.466 1.157
N H Ni Cl
2 1 1 1
Direct
0.000 0.000 0.500 N
0.500 0.000 0.000 N
0.000 0.000 0.000 H
0.500 0.500 0.500 Ni
0.000 0.500 0.000 Cl
```

The following is a DFT calculation (GGA-PBE) of NiH6N2Cl2 after structural relaxation.

The total magnetic moment comes out at 2.00 μB per formula unit. Its crystal system is monoclinic. The value obtained for the total energy is -4.711 eV/atom. The space-group type is No. 5. The calculation puts the density at 2.2 Mg/m³.

The structure in POSCAR format:
```
NiH6N2Cl2
1.0
4.064 4.059 0.071
-4.064 4.059 0.071
0.000 0.244 3.688
H Cl Ni N
6 2 1 2
Direct
0.283 0.310 0.212 H
0.584 0.812 0.173 H
0.188 0.416 0.827 H
0.690 0.717 0.788 H
0.392 0.213 0.829 H
0.787 0.608 0.171 H
0.194 0.806 0.500 Cl
0.782 0.218 0.500 Cl
0.988 0.012 0.000 Ni
0.735 0.760 0.039 N
0.240 0.265 0.961 N
```